# 1
VASP calculation (PBE-GGA) on a relaxed Pr2NdSm4Tm crystal.

Structure (POSCAR):
```
Pr2NdSm4Tm
1.0
-1.806 -8.960 -3.051
6.101 -3.726 6.460
-7.693 9.063 1.409
Pr Tm Nd Sm
4 2 2 8
Direct
0.500 0.000 0.000
0.500 0.500 0.000
0.000 0.000 0.500
0.500 0.000 0.500
0.500 0.500 0.500
0.000 0.000 0.000
0.000 0.500 0.000
0.000 0.500 0.500
0.243 0.244 0.488
0.242 0.758 0.000
0.742 0.258 0.500
0.744 0.743 0.988
0.757 0.756 0.512
0.256 0.257 0.012
0.758 0.242 0.000
0.258 0.742 0.500
```

## Properties
For the density of states at the Fermi level, the calculation gives 2.45 states/eV/atom. The total energy comes out at -4.328 eV/atom.

***

# 2
VASP calculation (PBE-GGA) on a relaxed Fe2HgMo crystal.

Structure (POSCAR):
```
Fe2HgMo
1.0
2.746 0.000 0.000
0.000 4.974 0.084
0.000 3.231 4.521
Fe Mo Hg
2 1 1
Direct
0.000 0.000 0.000
0.500 0.500 0.000
0.000 0.000 0.500
0.500 0.500 0.500
```

## Properties
For the density of states at the Fermi level, the calculation gives 1.16 states/eV/atom. The total energy comes out at -6.455 eV/atom.

***

# 3
VASP calculation (PBE-GGA) on a relaxed K2MgTcO6 crystal.

Structure (POSCAR):
```
K2MgTcO6
1.0
5.292 0.000 0.000
0.000 6.107 0.000
0.000 -3.053 5.289
O K Mg Tc
6 2 1 1
Direct
0.219 0.858 0.715
0.781 0.142 0.285
0.219 0.285 0.142
0.219 0.858 0.142
0.781 0.715 0.858
0.781 0.142 0.858
0.824 0.667 0.333
0.176 0.333 0.667
0.500 0.000 0.000
0.000 0.000 0.000
```

## Properties
As for the formation energy from raw total energies: -1.46 eV per atom. For the density of states at the Fermi level, the calculation gives 0.25 states/eV/atom. The total energy comes out at -5.846 eV/atom.

***

# 4
VASP calculation (PBE-GGA) on a relaxed Be2H2Pd crystal.

Structure (POSCAR):
```
Be2H2Pd
1.0
-2.077 -0.802 -1.661
1.349 -2.367 -0.544
-2.586 -3.725 2.708
Be H Pd
2 2 1
Direct
0.655 0.655 0.690
0.345 0.345 0.310
0.750 0.250 0.500
0.250 0.750 0.500
0.000 0.000 0.000
```

## Properties
For the density of states at the Fermi level, the calculation gives 0.10 states/eV/atom. The total energy comes out at -3.831 eV/atom.

***

Number 1: ρ 7.14 g cm⁻³. Number 2: ρ 11.11 g cm⁻³. Number 3: ρ 2.88 g cm⁻³. Number 4: ρ 5.55 g cm⁻³.